Density functional theory data (GGA-PBE) for a geometry-optimized SrLi4Pd structure.

* formation energy from the elements: 0.022 eV/atom
* E above lowest polymorph: 167.4 meV per atom
* SG: P4/mmm, No. 123
* volume: 29.1 Å³ per atom

Lattice parameters (Å, degrees): 4.8514 4.8514 7.4145 90.00 90.03 90.00
Last column: nearest neighbours and their distance in Å.
Fractional positions:
Li1 0.5000 0.5000 0.5000  2 Pd 2.43
Li2 0.9998 0.5000 0.8168  1 Pd 2.35
Li3 0.0000 0.0000 0.5000  2 Pd 2.43
Li4 0.0002 0.5000 0.1832  1 Pd 2.35
Pd1 0.0000 0.5000 0.5000  6 Li 2.35-2.43
Sr1 0.5000 0.0000 0.0000  8 Li 3.69

---

Density functional theory data (GGA-PBE) for a geometry-optimized Sr2LiPd structure.

* formation energy from the elements: -0.129 eV/atom
* SG: R-3m, No. 166
* volume: 41.3 Å³ per atom

Lattice parameters (Å, degrees): 4.2259 4.2259 10.9599 78.88 78.88 60.00
Last column: nearest neighbours and their distance in Å.
Fractional positions:
Pd1 0.5000 0.5000 0.5000  6 Sr 3.00
Sr1 0.1120 0.1120 0.6640  3 Pd 3.00
Sr2 0.8880 0.8880 0.3360  3 Pd 3.00
Li1 0.0000 0.0000 0.0000  2 Sr 3.59

---

Density functional theory data (GGA-PBE) for a geometry-optimized Sr3LiPd2 structure.

* formation energy from the elements: -0.434 eV/atom
* SG: P2_1/c, No. 14
* volume: 30.5 Å³ per atom

Lattice parameters (Å, degrees): 6.3008 12.1596 10.0218 90.00 107.45 90.00
Last column: nearest neighbours and their distance in Å.
Fractional positions:
Pd1 0.1202 0.5084 0.7789  1 Li 2.66, 1 Pd 2.83
Pd2 0.2801 0.1349 0.1260  1 Li 2.59, 1 Pd 2.83
Pd3 0.7801 0.3651 0.6260  1 Li 2.59, 1 Pd 2.83
Pd4 0.8798 0.4916 0.2211  1 Li 2.66, 1 Pd 2.83
Pd5 0.6202 0.9916 0.2789  1 Li 2.66, 1 Pd 2.83
Pd6 0.2199 0.6349 0.3740  1 Li 2.59, 1 Pd 2.83
Pd7 0.3798 0.0084 0.7211  1 Li 2.66, 1 Pd 2.83
Pd8 0.7199 0.8651 0.8740  1 Li 2.59, 1 Pd 2.83
Li1 0.9294 0.6915 0.8322  2 Pd 2.59-2.66
Li2 0.0706 0.3085 0.1678  2 Pd 2.59-2.66
Li3 0.4294 0.8085 0.3322  2 Pd 2.59-2.66
Li4 0.5706 0.1915 0.6678  2 Pd 2.59-2.66
Sr1 0.8123 0.9536 0.6093  3 Pd 3.08-3.31, 1 Li 3.40
Sr2 0.1601 0.2330 0.8263  4 Pd 3.08-3.38
Sr3 0.7436 0.0896 0.0151  4 Pd 3.06-3.30
Sr4 0.6601 0.2670 0.3263  4 Pd 3.08-3.38
Sr5 0.2564 0.9104 0.9849  4 Pd 3.06-3.30
Sr6 0.6877 0.4536 0.8907  3 Pd 3.08-3.31, 1 Li 3.40
Sr7 0.3123 0.5464 0.1093  3 Pd 3.08-3.31, 1 Li 3.40
Sr8 0.7564 0.5896 0.4849  4 Pd 3.06-3.30
Sr9 0.1877 0.0464 0.3907  3 Pd 3.08-3.31, 1 Li 3.40
Sr10 0.3399 0.7330 0.6737  4 Pd 3.08-3.38
Sr11 0.8399 0.7670 0.1737  4 Pd 3.08-3.38
Sr12 0.2436 0.4104 0.5151  4 Pd 3.06-3.30

---

Density functional theory data (GGA-PBE) for a geometry-optimized Sr2LiPd structure.

* formation energy from the elements: -0.345 eV/atom
* SG: Cm, No. 8
* volume: 33.5 Å³ per atom

Lattice parameters (Å, degrees): 4.4305 4.4288 8.2938 74.44 74.51 59.99
Last column: nearest neighbours and their distance in Å.
Fractional positions:
Pd1 0.4696 0.2326 0.8283  3 Li 2.55-2.56
Sr1 0.8903 0.6541 0.5652  3 Pd 3.29, 3 Li 3.30
Sr2 0.7144 0.4770 0.0942  3 Li 3.30, 3 Pd 3.31
Li1 0.1360 0.8983 0.8296  3 Pd 2.55-2.56

---

Density functional theory data (GGA-PBE) for a geometry-optimized Sr2Li3Pd2 structure.

* formation energy from the elements: -0.374 eV/atom
* SG: C2/m, No. 12
* volume: 23.7 Å³ per atom

Lattice parameters (Å, degrees): 4.3287 5.9562 7.7176 114.61 90.00 111.31
Last column: nearest neighbours and their distance in Å.
Fractional positions:
Pd1 0.8639 0.7277 0.8107  5 Li 2.67-2.82
Pd2 0.1361 0.2723 0.1893  5 Li 2.67-2.82
Sr1 0.1371 0.2741 0.7760  4 Pd 3.16-3.24, 3 Li 3.28-3.51
Sr2 0.8629 0.7259 0.2240  4 Pd 3.16-3.24, 3 Li 3.28-3.51
Li1 0.3412 0.6823 0.5733  3 Pd 2.77-2.82, 3 Li 2.83-2.96
Li2 0.6588 0.3177 0.4267  3 Pd 2.77-2.82, 3 Li 2.83-2.96
Li3 0.5000 0.0000 0.0000  4 Pd 2.67, 2 Li 2.96

---

Density functional theory data (GGA-PBE) for a geometry-optimized Sr4Li3Pd structure.

* formation energy from the elements: -0.148 eV/atom
* SG: Pmm2, No. 25
* volume: 34.4 Å³ per atom

Lattice parameters (Å, degrees): 4.6411 4.7578 12.4810 90.00 90.00 90.00
Last column: nearest neighbours and their distance in Å.
Fractional positions:
Sr1 0.0000 0.0000 0.1355  2 Li 3.24, 4 Pd 3.45
Sr2 0.5000 0.0000 0.6516  7 Li 3.51-3.78
Sr3 0.5000 0.5000 0.3301  1 Pd 3.34, 6 Li 3.55-3.69
Sr4 0.0000 0.5000 0.8765  2 Pd 3.28, 4 Li 3.46
Pd1 0.5000 0.5000 0.0627  2 Li 2.74
Li1 0.5000 0.0000 0.9546  2 Pd 2.74
Li2 0.0000 0.5000 0.5600  2 Li 2.89
Li3 0.0000 0.0000 0.4291  2 Li 2.89

---

> Which of these has the highest volume?

number 2

---

> The lowest volume belongs to which entry?

Sr2Li3Pd2